Entry 1:
Here is a relaxed LiUGaRu crystal from Alexandria. Energies are from PBE-GGA.

CIF file:
```
data_LiUGaRu
_cell_length_a 6.4782
_cell_length_b 6.4782
_cell_length_c 6.4782
_cell_angle_alpha 90.00
_cell_angle_beta 90.00
_cell_angle_gamma 90.00
_space_group_name_H-M_alt 'F -4 3 m'
_space_group_IT_number 216
_space_group_name_Hall 'F -4 2 3'
loop_
_atom_site_label
_atom_site_type_symbol
_atom_site_fract_x
_atom_site_fract_y
_atom_site_fract_z
_atom_site_occupancy
Li1 Li 0.0000 0.0000 0.0000 1
U1 U 0.2500 0.2500 0.2500 1
Ga1 Ga 0.2500 0.2500 0.7500 1
Ru1 Ru 0.0000 0.0000 0.5000 1
```

**Total magnetization**: 7.869 μB per cell
**Energy relative to the elements**: -0.056 eV/atom
**Final energy**: -102.92 eV/cell

Entry 2:
Here is a relaxed LiGaRuW2 crystal from Alexandria. Energies are from PBE-GGA.

CIF file:
```
data_LiGaRuW2
_cell_length_a 4.6851
_cell_length_b 4.6851
_cell_length_c 4.5382
_cell_angle_alpha 90.00
_cell_angle_beta 90.00
_cell_angle_gamma 90.00
_space_group_name_H-M_alt 'P 4/m m m'
_space_group_IT_number 123
_space_group_name_Hall '-P 4 2'
loop_
_atom_site_label
_atom_site_type_symbol
_atom_site_fract_x
_atom_site_fract_y
_atom_site_fract_z
_atom_site_occupancy
Li1 Li 0.0000 0.0000 0.0000 1
Ga1 Ga 0.5000 0.5000 0.5000 1
Ru1 Ru 0.5000 0.5000 0.0000 1
W1 W 0.0000 0.5000 0.5000 1
```

**Total magnetization**: 0.000 μB per cell
**Energy relative to the elements**: 1.774 eV/atom
**Final energy**: -31.25 eV/cell

Entry 3:
Here is a relaxed LiGaRuW crystal from Alexandria. Energies are from PBE-GGA.

CIF file:
```
data_LiGaRuW
_cell_length_a 6.0564
_cell_length_b 6.0564
_cell_length_c 6.0564
_cell_angle_alpha 90.00
_cell_angle_beta 90.00
_cell_angle_gamma 90.00
_space_group_name_H-M_alt 'F -4 3 m'
_space_group_IT_number 216
_space_group_name_Hall 'F -4 2 3'
loop_
_atom_site_label
_atom_site_type_symbol
_atom_site_fract_x
_atom_site_fract_y
_atom_site_fract_z
_atom_site_occupancy
Li1 Li 0.0000 0.0000 0.0000 1
Ga1 Ga 0.2500 0.2500 0.2500 1
Ru1 Ru 0.0000 0.0000 0.5000 1
W1 W 0.2500 0.2500 0.7500 1
```

**Total magnetization**: 0.000 μB per cell
**Energy relative to the elements**: -0.174 eV/atom
**Final energy**: -111.46 eV/cell

Entry 4:
Here is a relaxed LiYGa4Ru2 crystal from Alexandria. Energies are from PBE-GGA.

CIF file:
```
data_LiYGa4Ru2
_cell_length_a 4.2481
_cell_length_b 4.2481
_cell_length_c 25.3760
_cell_angle_alpha 90.00
_cell_angle_beta 90.00
_cell_angle_gamma 120.00
_space_group_name_H-M_alt 'R -3 m'
_space_group_IT_number 166
_space_group_name_Hall '-R 3 2"'
loop_
_atom_site_label
_atom_site_type_symbol
_atom_site_fract_x
_atom_site_fract_y
_atom_site_fract_z
_atom_site_occupancy
Li1 Li 0.0000 0.0000 0.0000 1
Y1 Y 0.0000 0.0000 0.5000 1
Ga1 Ga 0.0000 0.0000 0.1010 1
Ga2 Ga 0.0000 0.0000 0.3689 1
Ru1 Ru 0.0000 0.0000 0.2660 1
```

**Total magnetization**: 0.000 μB per cell
**Energy relative to the elements**: -0.414 eV/atom
**Final energy**: -127.04 eV/cell

Question: Among the records above, which one has the highest energy relative to the elements?
Answer: LiGaRuW2

Repeat the first record exactly.
Here is a relaxed LiUGaRu crystal from Alexandria. Energies are from PBE-GGA.

CIF file:
```
data_LiUGaRu
_cell_length_a 6.4782
_cell_length_b 6.4782
_cell_length_c 6.4782
_cell_angle_alpha 90.00
_cell_angle_beta 90.00
_cell_angle_gamma 90.00
_space_group_name_H-M_alt 'F -4 3 m'
_space_group_IT_number 216
_space_group_name_Hall 'F -4 2 3'
loop_
_atom_site_label
_atom_site_type_symbol
_atom_site_fract_x
_atom_site_fract_y
_atom_site_fract_z
_atom_site_occupancy
Li1 Li 0.0000 0.0000 0.0000 1
U1 U 0.2500 0.2500 0.2500 1
Ga1 Ga 0.2500 0.2500 0.7500 1
Ru1 Ru 0.0000 0.0000 0.5000 1
```

**Total magnetization**: 7.869 μB per cell
**Energy relative to the elements**: -0.056 eV/atom
**Final energy**: -102.92 eV/cell